Compound: Mg2Sc2ZnCdAg2
Source: OQMD
Functional: GGA-PBE
Structure: optimized geometry

Output
E_tot = -25.88 eV per formula unit
Crystal system = tetragonal

a = 4.7828 Å, b = 4.7828 Å, c = 6.7579 Å
α = 90.00°, β = 90.00°, γ = 90.00°
With the nearest neighbours (Å) after each atom.
Fractional positions:
Mg  0.0000  0.5000  0.2438  2 Zn 2.90, 4 Ag 2.90-2.95, 2 Cd 2.95
Mg  0.5000  0.0000  0.7562  2 Zn 2.90, 4 Ag 2.90-2.95, 2 Cd 2.95
Sc  0.0000  0.5000  0.7603  2 Zn 2.89, 4 Ag 2.89-2.97, 2 Cd 2.97
Sc  0.5000  0.0000  0.2397  2 Zn 2.89, 4 Ag 2.89-2.97, 2 Cd 2.97
Zn  0.5000  0.5000  0.0000  4 Sc 2.89, 4 Mg 2.90
Cd  0.0000  0.0000  0.5000  4 Mg 2.95, 4 Sc 2.97
Ag  0.0000  0.0000  0.0000  4 Sc 2.89, 4 Mg 2.90
Ag  0.5000  0.5000  0.5000  4 Mg 2.95, 4 Sc 2.97



Compound: MgInFeRe
Source: OQMD
Functional: GGA-PBE
Structure: optimized geometry

Output
E_tot = -23.17 eV per formula unit
Crystal system = cubic

a = 4.4699 Å, b = 4.4699 Å, c = 4.4699 Å
α = 60.00°, β = 60.00°, γ = 60.00°
With the nearest neighbours (Å) after each atom.
Fractional positions:
Mg  0.0000  0.0000  0.0000  4 Re 2.74, 4 In 2.74
In  0.2500  0.2500  0.2500  4 Fe 2.74, 4 Mg 2.74
Fe  0.5000  0.5000  0.5000  4 In 2.74, 4 Re 2.74
Re  0.7500  0.7500  0.7500  4 Fe 2.74, 4 Mg 2.74



Compound: PaReNO
Source: OQMD
Functional: GGA-PBE
Structure: optimized geometry

Output
E_tot = -37.62 eV per formula unit
Crystal system = orthorhombic

a = 6.5445 Å, b = 6.8032 Å, c = 5.0978 Å
α = 90.00°, β = 90.00°, γ = 90.00°
With the nearest neighbours (Å) after each atom.
Fractional positions:
Pa  0.0812  0.1774  0.0000  2 N 2.29-2.48, 2 O 2.46-2.47
Pa  0.4188  0.1774  0.5000  2 N 2.29-2.48, 2 O 2.46-2.47
Pa  0.5812  0.8226  0.0000  2 N 2.29-2.48, 2 O 2.46-2.47
Pa  0.9188  0.8226  0.5000  2 N 2.29-2.48, 2 O 2.46-2.47
Re  0.1902  0.6679  0.0009  1 N 2.02, 2 O 2.04
Re  0.3098  0.6679  0.5009  1 N 2.02, 2 O 2.04
Re  0.6902  0.3321  0.0009  1 N 2.02, 2 O 2.04
Re  0.8098  0.3321  0.5009  1 N 2.02, 2 O 2.04
N  0.0427  0.1374  0.4982  1 Re 2.02
N  0.4573  0.1374  0.9982  1 Re 2.02
N  0.5427  0.8626  0.4982  1 Re 2.02
N  0.9573  0.8626  0.9982  1 Re 2.02
O  0.2505  0.4410  0.2512  2 Re 2.04
O  0.2495  0.4410  0.7512  2 Re 2.04
O  0.7505  0.5590  0.2512  2 Re 2.04
O  0.7495  0.5590  0.7512  2 Re 2.04



Compound: PrC6N9
Source: OQMD
Functional: GGA-PBE
Structure: optimized geometry

Output
E_tot = -134.77 eV per formula unit
Crystal system = orthorhombic

a = 6.9118 Å, b = 6.9118 Å, c = 9.9724 Å
α = 90.00°, β = 90.00°, γ = 109.30°
With the nearest neighbours (Å) after each atom.
Fractional positions:
Pr  0.2131  0.7869  0.7500  9 N 2.53-2.78
Pr  0.7869  0.2131  0.2500  9 N 2.53-2.78
C  0.0556  0.2259  0.7500  2 N 1.17-1.30
C  0.2156  0.5003  0.0490  2 N 1.18-1.30
C  0.2156  0.5003  0.4510  2 N 1.18-1.30
C  0.2259  0.0556  0.2500  2 N 1.17-1.30
C  0.5003  0.2156  0.5490  2 N 1.18-1.30
C  0.5003  0.2156  0.9510  2 N 1.18-1.30
C  0.4997  0.7844  0.0490  2 N 1.18-1.30
C  0.4997  0.7844  0.4510  2 N 1.18-1.30
C  0.7741  0.9444  0.7500  2 N 1.17-1.30
C  0.7844  0.4997  0.5490  2 N 1.18-1.30
C  0.7844  0.4997  0.9510  2 N 1.18-1.30
C  0.9444  0.7741  0.2500  2 N 1.17-1.30
N  0.0271  0.9729  0.2500  2 C 1.30
N  0.0916  0.3563  0.0959  1 C 1.18
N  0.0916  0.3563  0.4041  1 C 1.18
N  0.1402  0.4038  0.7500  1 C 1.17
N  0.3415  0.6585  0.5122  2 C 1.30
N  0.3415  0.6585  0.9878  2 C 1.30
N  0.3563  0.0916  0.5959  1 C 1.18
N  0.3563  0.0916  0.9041  1 C 1.18
N  0.4038  0.1402  0.2500  1 C 1.17
N  0.5962  0.8598  0.7500  1 C 1.17
N  0.6437  0.9084  0.0959  1 C 1.18
N  0.6437  0.9084  0.4041  1 C 1.18
N  0.6585  0.3415  0.0122  2 C 1.30
N  0.6585  0.3415  0.4878  2 C 1.30
N  0.8598  0.5962  0.2500  1 C 1.17
N  0.9084  0.6437  0.5959  1 C 1.18
N  0.9084  0.6437  0.9041  1 C 1.18
N  0.9729  0.0271  0.7500  2 C 1.30



Compound: DyC2
Source: OQMD
Functional: GGA-PBE
Structure: optimized geometry

Output
E_tot = -13.66 eV per formula unit
Crystal system = cubic

a = 7.4394 Å, b = 7.4394 Å, c = 7.4394 Å
α = 60.00°, β = 60.00°, γ = 60.00°
With the nearest neighbours (Å) after each atom.
Fractional positions:
Dy  0.1250  0.1250  0.1250  4 C 2.28
Dy  0.8750  0.8750  0.8750  4 C 2.28
C  0.0000  0.0000  0.0000  2 Dy 2.28
C  0.0000  0.0000  0.5000  2 Dy 2.28
C  0.0000  0.5000  0.0000  2 Dy 2.28
C  0.5000  0.0000  0.0000  2 Dy 2.28



Compound: Tm2HgIr
Source: OQMD
Functional: GGA-PBE
Structure: optimized geometry

Output
E_tot = -21.03 eV per formula unit
Formation enthalpy at 0 K = -0.732 eV/atom
Crystal system = tetragonal

a = 3.4471 Å, b = 3.4471 Å, c = 7.4080 Å
α = 90.00°, β = 90.00°, γ = 90.00°
With the nearest neighbours (Å) after each atom.
Fractional positions:
Tm  0.0000  0.0000  0.2210  4 Ir 2.94, 4 Hg 3.20, 1 Tm 3.27
Tm  0.0000  0.0000  0.7790  4 Ir 2.94, 4 Hg 3.20, 1 Tm 3.27
Hg  0.5000  0.5000  0.5000  8 Tm 3.20, 4 Hg 3.45
Ir  0.5000  0.5000  0.0000  8 Tm 2.94